(1)
The following is a DFT calculation (PBE) of a relaxed TiCd2BiC crystal.

a b c (Å): 5.5114 5.2901 5.5114
angles (deg): 90.00 90.00 90.00
Positions (direct):
C (0.5000, 0.5000, 0.5000)
Ti (0.0000, 0.0000, 0.0000)
Bi (0.0000, 0.5000, 0.0000)
Cd (0.0000, 0.0000, 0.5000)
Cd (0.5000, 0.0000, 0.0000)

E_form, eV/atom: 1.799



(2)
The following is a DFT calculation (PBE) of a relaxed Y2CdBiC crystal.

a b c (Å): 4.9022 5.0445 4.9022
angles (deg): 90.00 90.00 90.00
Positions (direct):
Y (0.0000, 0.0000, 0.5000)
Y (0.5000, 0.0000, 0.0000)
C (0.0000, 0.0000, 0.0000)
Bi (0.0000, 0.5000, 0.0000)
Cd (0.5000, 0.5000, 0.5000)

E_form, eV/atom: -0.090



(3)
The following is a DFT calculation (PBE) of a relaxed ZnCdBi2C crystal.

a b c (Å): 5.4863 3.7565 5.4863
angles (deg): 90.00 90.00 90.00
Positions (direct):
C (0.0000, 0.0000, 0.0000)
Zn (0.0000, 0.5000, 0.0000)
Bi (0.0000, 0.0000, 0.5000)
Bi (0.5000, 0.0000, 0.0000)
Cd (0.5000, 0.5000, 0.5000)

E_form, eV/atom: 0.620



(4)
The following is a DFT calculation (PBE) of a relaxed ZrCd2BiC crystal.

a b c (Å): 5.6578 5.6837 5.6578
angles (deg): 90.00 90.00 90.00
Positions (direct):
C (0.5000, 0.5000, 0.5000)
Bi (0.0000, 0.0000, 0.0000)
Zr (0.0000, 0.5000, 0.0000)
Cd (0.0000, 0.0000, 0.5000)
Cd (0.5000, 0.0000, 0.0000)

E_form, eV/atom: 2.062



(5)
The following is a DFT calculation (PBE) of a relaxed Ce5BiC2 crystal.

a b c (Å): 4.6449 4.6449 10.3004
angles (deg): 103.03 103.03 90.00
Positions (direct):
Ce (0.6550, 0.1550, 0.3099)
Ce (0.1550, 0.6550, 0.3099)
Ce (0.8450, 0.3450, 0.6901)
Ce (0.3450, 0.8450, 0.6901)
Ce (0.0000, 0.0000, 0.0000)
Bi (0.5000, 0.5000, 0.0000)
C (0.1182, 0.1182, 0.2365)
C (0.8818, 0.8818, 0.7635)

E_form, eV/atom: -0.088



(6)
The following is a DFT calculation (PBE) of a relaxed Ce7Bi4C crystal.

a b c (Å): 5.0663 9.7890 8.2964
angles (deg): 69.87 72.22 75.00
Positions (direct):
Ce (0.8325, 0.0164, 0.3185)
Ce (0.1675, 0.9836, 0.6815)
Ce (0.0765, 0.7327, 0.1143)
Ce (0.9235, 0.2673, 0.8857)
Ce (0.3515, 0.5237, 0.7733)
Ce (0.5000, 0.0000, 0.0000)
Ce (0.6485, 0.4763, 0.2267)
Bi (0.5776, 0.2357, 0.6091)
Bi (0.4224, 0.7643, 0.3909)
Bi (0.7281, 0.7248, 0.8190)
Bi (0.2719, 0.2752, 0.1810)
C (0.0000, 0.0000, 0.0000)

E_form, eV/atom: -0.489



(7)
The following is a DFT calculation (PBE) of a relaxed Ce6Bi5C crystal.

a b c (Å): 7.6566 7.7472 7.6884
angles (deg): 59.75 80.27 70.40
Positions (direct):
Ce (0.7836, 0.0701, 0.2878)
Ce (0.2164, 0.6421, 0.2878)
Ce (0.2342, 0.2096, 0.0000)
Ce (0.7658, 0.7904, 0.0000)
Ce (0.7836, 0.3579, 0.7122)
Ce (0.2164, 0.9299, 0.7122)
Bi (0.5000, 0.1863, 0.6275)
Bi (0.0000, 0.3373, 0.3254)
Bi (0.5000, 0.5000, 0.0000)
Bi (0.0000, 0.6627, 0.6746)
Bi (0.5000, 0.8137, 0.3725)
C (0.0000, 0.0000, 0.0000)

E_form, eV/atom: -0.571



(8)
The following is a DFT calculation (PBE) of a relaxed Ce6Bi3C2 crystal.

a b c (Å): 4.7938 4.7938 13.8933
angles (deg): 99.93 99.93 90.00
Positions (direct):
Ce (0.0857, 0.5857, 0.1714)
Ce (0.5857, 0.0857, 0.1714)
Ce (0.9143, 0.4143, 0.8286)
Ce (0.4143, 0.9143, 0.8286)
Ce (0.6945, 0.6945, 0.3890)
Ce (0.3055, 0.3055, 0.6110)
Bi (0.0000, 0.0000, 0.0000)
Bi (0.8206, 0.8206, 0.6411)
Bi (0.1794, 0.1794, 0.3589)
C (0.3919, 0.3919, 0.7839)
C (0.6081, 0.6081, 0.2161)

E_form, eV/atom: -0.506



Q: Number 5 is which compound?
A: Ce5BiC2